[1]
Below is an optimized crystal structure of La3GaO, with properties calculated at the GGA-PBE level.

a b c (Å): 4.2814 7.1871 9.5712
angles (deg): 90.00 89.99 90.00
Closest atoms and distances in Å follow each position.
Sites, in units of the cell vectors:
1 La 0.7500 0.4977 0.1653  1 O 2.36
2 La 0.2500 0.9977 0.8347  1 O 2.36
3 La 0.2500 0.5023 0.8347  1 O 2.36
4 Ga 0.2500 0.7500 0.2972  6 La 3.08-3.25
5 O 0.7500 0.2500 0.3269  4 La 2.36-2.43
6 O 0.2500 0.7500 0.6731  4 La 2.36-2.43
7 La 0.7500 0.7500 0.5528  2 O 2.43
8 Ga 0.7500 0.2500 0.7028  6 La 3.08-3.25
9 La 0.2500 0.2500 0.4472  2 O 2.43
10 La 0.7500 0.0023 0.1653  1 O 2.36

Properties
- Calculated total energy: -5.836 eV per atom
- M_tot: 0.000 μB/atom
- V: 29.5 A^3/atom

[2]
Below is an optimized crystal structure of KLiBeTe2, with properties calculated at the GGA-PBE level.

a b c (Å): 6.2285 8.1321 6.6011
angles (deg): 113.16 90.00 90.00
Closest atoms and distances in Å follow each position.
Sites, in units of the cell vectors:
1 Te 0.7545 0.7789 0.8924  1 Be 2.25
2 Te 0.2455 0.2211 0.1076  1 Be 2.25
3 Be 0.0000 0.0000 0.0000  2 Te 2.25
4 K 0.2377 0.5000 0.7500  8 Te 3.66-3.95, 2 Be 4.02
5 Li 0.4996 0.0000 0.7500  4 Te 2.82
6 Be 0.0000 0.0000 0.5000  2 Te 2.25
7 Te 0.7545 0.2211 0.6076  1 Be 2.25
8 Te 0.2455 0.7789 0.3924  1 Be 2.25
9 Li 0.5004 0.0000 0.2500  4 Te 2.82
10 K 0.7623 0.5000 0.2500  8 Te 3.66-3.95, 2 Be 4.02

Properties
- Calculated total energy: -3.248 eV per atom
- M_tot: 0.000 μB/atom
- V: 30.7 A^3/atom

[3]
Below is an optimized crystal structure of MnTl2Sb, with properties calculated at the GGA-PBE level.

a b c (Å): 5.7675 4.0886 4.5321
angles (deg): 88.64 90.00 90.00
Closest atoms and distances in Å follow each position.
Sites, in units of the cell vectors:
1 Mn 0.5000 0.2500 0.2500  4 Sb 3.02-3.09, 4 Tl 3.26
2 Tl 0.0000 0.4971 0.4963  4 Tl 3.01-3.13, 2 Mn 3.26, 2 Sb 3.28
3 Sb 0.5000 0.7500 0.7500  4 Mn 3.02-3.09, 4 Tl 3.28
4 Tl 0.0000 0.0029 0.0037  4 Tl 3.01-3.13, 2 Mn 3.26, 2 Sb 3.28

Properties
- Calculated total energy: -4.145 eV per atom
- M_tot: 1.068 μB/atom
- ΔE to the lowest computed polymorph: 190.3 meV per atom
- V: 26.7 A^3/atom

[4]
Below is an optimized crystal structure of Li2MgTlBr, with properties calculated at the GGA-PBE level.

a b c (Å): 5.3819 5.7091 5.3819
angles (deg): 90.00 90.00 90.00
Closest atoms and distances in Å follow each position.
Sites, in units of the cell vectors:
1 Li 0.5000 0.0000 0.0000  2 Mg 2.69
2 Li 0.0000 0.0000 0.5000  2 Mg 2.69
3 Br 0.0000 0.5000 0.0000  2 Mg 2.85
4 Mg 0.0000 0.0000 0.0000  4 Li 2.69, 2 Br 2.85
5 Tl 0.5000 0.5000 0.5000  4 Br 3.81, 8 Li 3.92

Properties
- Calculated total energy: -1.836 eV per atom
- M_tot: 0.000 μB/atom
- V: 33.1 A^3/atom

[5]
Below is an optimized crystal structure of ThCdHg2, with properties calculated at the GGA-PBE level.

a b c (Å): 3.5301 3.5301 10.0233
angles (deg): 79.86 79.86 60.00
Closest atoms and distances in Å follow each position.
Sites, in units of the cell vectors:
1 Cd 0.6667 0.6667 0.0000  6 Hg 3.06
2 Th 0.5001 0.5001 0.4998  6 Hg 3.32-3.33, 6 Th 3.53
3 Hg 0.0775 0.0775 0.7676  3 Cd 3.06, 3 Th 3.33
4 Hg 0.2558 0.2558 0.2326  3 Cd 3.06, 3 Th 3.32

Properties
- Calculated formation energy: -20.8 kJ/mol of formula units
- Calculated total energy: -2.289 eV per atom
- M_tot: 0.000 μB/atom
- ΔE to the lowest computed polymorph: 187.4 meV per atom
- V: 26.5 A^3/atom

[6]
Below is an optimized crystal structure of CsAlSb2Te, with properties calculated at the GGA-PBE level.

a b c (Å): 5.4592 5.4592 5.7818
angles (deg): 90.00 90.00 90.00
Closest atoms and distances in Å follow each position.
Sites, in units of the cell vectors:
1 Sb 0.0000 0.5000 0.0000  2 Al 2.73
2 Al 0.0000 0.0000 0.0000  4 Sb 2.73, 2 Te 2.89
3 Sb 0.5000 0.0000 0.0000  2 Al 2.73
4 Cs 0.5000 0.5000 0.5000  4 Te 3.86, 8 Sb 3.98
5 Te 0.0000 0.0000 0.5000  2 Al 2.89

Properties
- Calculated total energy: -3.185 eV per atom
- M_tot: 0.000 μB/atom
- ΔE to the lowest computed polymorph: 0.0 meV per atom
- V: 34.5 A^3/atom

[7]
Below is an optimized crystal structure of Li2As2Pt, with properties calculated at the GGA-PBE level.

a b c (Å): 6.3905 6.3905 4.2628
angles (deg): 90.00 90.00 90.00
Closest atoms and distances in Å follow each position.
Sites, in units of the cell vectors:
1 Pt 0.0000 0.0000 0.0000  4 As 2.48
2 Li 0.1712 0.6712 0.5000  6 As 2.74-2.91
3 Li 0.6712 0.8288 0.5000  6 As 2.74-2.91
4 As 0.6377 0.1377 0.0000  2 Pt 2.48, 1 As 2.49, 2 Li 2.74
5 As 0.8623 0.6377 0.0000  2 Pt 2.48, 1 As 2.49, 2 Li 2.74
6 As 0.3623 0.8623 0.0000  2 Pt 2.48, 1 As 2.49, 2 Li 2.74
7 Li 0.8288 0.3288 0.5000  6 As 2.74-2.91
8 Pt 0.5000 0.5000 0.0000  4 As 2.48
9 As 0.1377 0.3623 0.0000  2 Pt 2.48, 1 As 2.49, 2 Li 2.74
10 Li 0.3288 0.1712 0.5000  6 As 2.74-2.91

Properties
- Calculated formation energy: -285.3 kJ/mol of formula units
- Calculated total energy: -4.425 eV per atom
- M_tot: 0.000 μB/atom
- ΔE to the lowest computed polymorph: 0.0 meV per atom
- V: 17.4 A^3/atom

[8]
Below is an optimized crystal structure of LiInAu14, with properties calculated at the GGA-PBE level.

a b c (Å): 5.8796 5.8796 9.5461
angles (deg): 90.00 90.00 118.84
Closest atoms and distances in Å follow each position.
Sites, in units of the cell vectors:
1 Au 0.8398 0.6690 0.2457  1 Li 2.88, 1 In 2.90, 10 Au 2.91-3.04
2 In 0.6627 0.3373 0.0000  10 Au 2.90-2.96, 2 Li 2.99
3 Au 0.3331 0.6669 0.2459  1 Li 2.90, 11 Au 2.91-2.99
4 Au 0.3310 0.1602 0.2457  1 Li 2.88, 1 In 2.90, 10 Au 2.91-3.04
5 Au 0.3331 0.6669 0.7541  1 Li 2.90, 11 Au 2.91-2.99
6 Au 0.1665 0.8335 0.5000  12 Au 2.94-2.99
7 Au 0.6650 0.8315 0.5000  12 Au 2.93-3.01
8 Au 0.8398 0.6690 0.7543  1 Li 2.88, 1 In 2.90, 10 Au 2.91-3.04
9 Au 0.6665 0.8373 0.0000  8 Au 2.91-3.01, 2 In 2.93-2.95, 2 Li 2.94
10 Au 0.8346 0.1654 0.2506  11 Au 2.93-2.99, 1 In 2.96
11 Li 0.1647 0.8353 0.0000  10 Au 2.88-2.94, 2 In 2.99
12 Au 0.8346 0.1654 0.7494  11 Au 2.93-2.99, 1 In 2.96
13 Au 0.3310 0.1602 0.7543  1 Li 2.88, 1 In 2.90, 10 Au 2.91-3.04
14 Au 0.1627 0.3335 0.0000  8 Au 2.91-3.01, 2 In 2.93-2.95, 2 Li 2.94
15 Au 0.1685 0.3350 0.5000  12 Au 2.93-3.01
16 Au 0.6662 0.3338 0.5000  12 Au 2.93-2.99

Properties
- Calculated formation energy: -144.1 kJ/mol of formula units
- Calculated total energy: -3.252 eV per atom
- M_tot: 0.000 μB/atom
- V: 18.1 A^3/atom

[9]
Below is an optimized crystal structure of LaGa2Pb2, with properties calculated at the GGA-PBE level.

a b c (Å): 4.7411 4.7411 7.0514
angles (deg): 70.36 70.36 90.00
Closest atoms and distances in Å follow each position.
Sites, in units of the cell vectors:
1 La 0.0000 0.0000 0.0000  8 Ga 3.57, 8 Pb 3.90
2 Pb 0.2500 0.7500 0.5000  4 Ga 3.02, 4 Pb 3.35
3 Ga 0.5987 0.5987 0.8026  1 Ga 2.45
4 Ga 0.4013 0.4013 0.1974  1 Ga 2.45
5 Pb 0.7500 0.2500 0.5000  4 Ga 3.02, 4 Pb 3.35

Properties
- Calculated formation energy: -102.6 kJ/mol of formula units
- Calculated total energy: -3.892 eV per atom
- M_tot: 0.000 μB/atom
- ΔE to the lowest computed polymorph: 57.0 meV per atom
- V: 27.9 A^3/atom

[10]
Below is an optimized crystal structure of TbMg3Ag3, with properties calculated at the GGA-PBE level.

a b c (Å): 7.2181 7.2181 7.2181
angles (deg): 90.00 90.00 90.00
Closest atoms and distances in Å follow each position.
Sites, in units of the cell vectors:
1 Ag 0.5000 0.0000 0.2500  4 Mg 2.55
2 Ag 0.0000 0.7500 0.5000  4 Mg 2.55
3 Ag 0.7500 0.5000 0.0000  4 Mg 2.55
4 Mg 0.0000 0.5000 0.7500  4 Ag 2.55
5 Mg 0.5000 0.7500 0.0000  4 Ag 2.55
6 Ag 0.5000 0.0000 0.7500  4 Mg 2.55
7 Tb 0.5000 0.5000 0.5000  12 Mg 4.04, 12 Ag 4.04
8 Tb 0.0000 0.0000 0.0000  12 Mg 4.04, 12 Ag 4.04
9 Ag 0.0000 0.2500 0.5000  4 Mg 2.55
10 Ag 0.2500 0.5000 0.0000  4 Mg 2.55
11 Mg 0.2500 0.0000 0.5000  4 Ag 2.55
12 Mg 0.7500 0.0000 0.5000  4 Ag 2.55
13 Mg 0.0000 0.5000 0.2500  4 Ag 2.55
14 Mg 0.5000 0.2500 0.0000  4 Ag 2.55

Properties
- Calculated formation energy: 226.9 kJ/mol of formula units
- Calculated total energy: -2.231 eV per atom
- M_tot: 0.000 μB/atom
- V: 26.9 A^3/atom

[11]
Below is an optimized crystal structure of ErPHRu, with properties calculated at the GGA-PBE level.

a b c (Å): 3.9850 3.9850 7.0441
angles (deg): 90.00 90.00 90.00
Closest atoms and distances in Å follow each position.
Sites, in units of the cell vectors:
1 Ru 0.5000 0.5000 0.0000  4 P 2.35
2 Ru 0.0000 0.0000 0.0000  4 P 2.35
3 H 0.5000 0.5000 0.5000  4 Er 2.29
4 P 0.5000 0.0000 0.1761  4 Ru 2.35
5 Er 0.5000 0.0000 0.6598  4 H 2.29
6 Er 0.0000 0.5000 0.3402  4 H 2.29
7 P 0.0000 0.5000 0.8239  4 Ru 2.35
8 H 0.0000 0.0000 0.5000  4 Er 2.29

Properties
- Calculated total energy: -6.593 eV per atom
- M_tot: 0.000 μB/atom
- V: 14.0 A^3/atom

[12]
Below is an optimized crystal structure of ThZn2Rh, with properties calculated at the GGA-PBE level.

a b c (Å): 4.2949 4.2949 5.5681
angles (deg): 67.31 67.31 60.00
Closest atoms and distances in Å follow each position.
Sites, in units of the cell vectors:
1 Rh 0.5000 0.5000 0.5000  6 Zn 2.57
2 Zn 0.2116 0.2116 0.3651  3 Rh 2.57, 3 Zn 2.82
3 Zn 0.7884 0.7884 0.6349  3 Rh 2.57, 3 Zn 2.82
4 Th 0.0000 0.0000 0.0000  8 Zn 3.08-3.17

Properties
- Calculated formation energy: -134.1 kJ/mol of formula units
- Calculated total energy: -4.677 eV per atom
- M_tot: 0.000 μB/atom
- V: 19.9 A^3/atom